! HgIr2W, PBEsol geometry, DFT meta-GGA SCAN; values from VASP
! Total magnetization (μB per cell): 0.0
! E_form (eV per atom): 0.382
&SYSTEM
  ibrav = 0, nat = 4, ntyp = 3
/
ATOMIC_SPECIES
Hg 200.59 Hg.upf
Ir 192.22 Ir.upf
W 183.84 W.upf
CELL_PARAMETERS angstrom
2.782 0.000 0.000
0.000 2.782 0.000
0.000 0.000 8.107
ATOMIC_POSITIONS angstrom
Hg 0.000 0.000 0.000
Ir 0.000 0.000 4.012
Ir 1.391 1.391 2.110
W 1.391 1.391 5.874